Computed, not measured: an optimized crystal structure of In3AgAu4 at the PBE level of DFT.

It has space group Pnma (No. 62), with a = 11.368 Å, b = 9.231 Å, c = 6.205 Å, α = 90.00°, β = 90.00° and γ = 90.00°. The distinct sites, in fractional coordinates, are In at (0.026, 0.250, 0.128), In at (0.136, 0.004, 0.545), Ag at (0.232, 0.250, 0.799), Au at (0.011, 0.750, 0.386), Au at (0.120, 0.530, 0.062) and Au at (0.230, 0.750, 0.779).

The total DFT energy (no corrections) comes out at -3.137 eV/atom. Its formation energy is -0.12 eV per atom.

***

Computed, not measured: an optimized crystal structure of In6AgAu12 at the PBE level of DFT.

It has space group P-1 (No. 2), with a = 7.682 Å, b = 7.714 Å, c = 7.758 Å, α = 106.88°, β = 105.87° and γ = 105.83°. The distinct sites, in fractional coordinates, are In at (0.062, 0.342, 0.333), In at (0.155, 0.170, 0.937), In at (0.332, 0.563, 0.844), Ag at (0.500, 0.000, 0.500), Au at (0.090, 0.720, 0.361), Au at (0.209, 0.149, 0.571), Au at (0.223, 0.864, 0.089), Au at (0.349, 0.929, 0.789), Au at (0.365, 0.589, 0.221) and Au at (0.429, 0.290, 0.351).

The total DFT energy (no corrections) comes out at -3.200 eV/atom. Its formation energy is -0.12 eV per atom. The energy above the most stable polymorph in this dataset comes out at 0 meV/atom.

***

Computed, not measured: an optimized crystal structure of In2AgAu3 at the PBE level of DFT.

It has space group Fddd (No. 70, origin choice 2), with a = 10.862 Å, b = 11.115 Å, c = 17.685 Å, α = 90.00°, β = 90.00° and γ = 90.00°. The distinct sites, in fractional coordinates, are In at (0.009, 0.005, 0.268), Ag at (0.065, 0.375, 0.375), Au at (0.000, 0.000, 0.500), Au at (0.125, 0.125, 0.382) and Au at (0.125, 0.310, 0.125).

The total DFT energy (no corrections) comes out at -3.088 eV/atom. Its formation energy is -0.06 eV per atom. The energy above the most stable polymorph in this dataset comes out at 0 meV/atom.

***

Q: Look up the total DFT energy (no corrections) of the first one.
A: -3.137 eV/atom

***

What did the third record say?
Computed, not measured: an optimized crystal structure of In2AgAu3 at the PBE level of DFT.

It has space group Fddd (No. 70, origin choice 2), with a = 10.862 Å, b = 11.115 Å, c = 17.685 Å, α = 90.00°, β = 90.00° and γ = 90.00°. The distinct sites, in fractional coordinates, are In at (0.009, 0.005, 0.268), Ag at (0.065, 0.375, 0.375), Au at (0.000, 0.000, 0.500), Au at (0.125, 0.125, 0.382) and Au at (0.125, 0.310, 0.125).

The total DFT energy (no corrections) comes out at -3.088 eV/atom. Its formation energy is -0.06 eV per atom. The energy above the most stable polymorph in this dataset comes out at 0 meV/atom.

***

Please write out number 2 again, unchanged.
Computed, not measured: an optimized crystal structure of In6AgAu12 at the PBE level of DFT.

It has space group P-1 (No. 2), with a = 7.682 Å, b = 7.714 Å, c = 7.758 Å, α = 106.88°, β = 105.87° and γ = 105.83°. The distinct sites, in fractional coordinates, are In at (0.062, 0.342, 0.333), In at (0.155, 0.170, 0.937), In at (0.332, 0.563, 0.844), Ag at (0.500, 0.000, 0.500), Au at (0.090, 0.720, 0.361), Au at (0.209, 0.149, 0.571), Au at (0.223, 0.864, 0.089), Au at (0.349, 0.929, 0.789), Au at (0.365, 0.589, 0.221) and Au at (0.429, 0.290, 0.351).

The total DFT energy (no corrections) comes out at -3.200 eV/atom. Its formation energy is -0.12 eV per atom. The energy above the most stable polymorph in this dataset comes out at 0 meV/atom.